# 1
Computed, not measured: a geometry-optimized AlBiO3 structure at the PBEsol level of DFT.

Cell lengths 7.139, 5.028, 8.219 Å; angles 90.00, 114.91, 90.00 degrees
Space group P2_1/c (No. 14)
Asymmetric unit:
Al  0.091  0.240  0.006 (multiplicity 4)
Bi  0.298  0.735  0.381 (multiplicity 4)
O  0.023  0.049  0.163 (multiplicity 4)
O  0.171  0.579  0.099 (multiplicity 4)
O  0.345  0.139  0.027 (multiplicity 4)

Values from the calculation:
Magnetization (μB per atom): 0.00
Energy (eV per cell): -138.16


# 2
Computed, not measured: a geometry-optimized AlBiO3 structure at the PBEsol level of DFT.

Cell lengths 5.374, 7.535, 5.318 Å; angles 90.00, 90.00, 90.00 degrees
Space group Pnma (No. 62)
Asymmetric unit:
Al  0.000  0.000  0.000 (multiplicity 4)
Bi  0.039  0.250  0.494 (multiplicity 4)
O  0.014  0.750  0.063 (multiplicity 4)
O  0.218  0.533  0.717 (multiplicity 8)

Values from the calculation:
Magnetization (μB per atom): 0.00
Energy (eV per cell): -139.55


# 3
Computed, not measured: a geometry-optimized AlBiP2O structure at the PBEsol level of DFT.

Cell lengths 4.988, 4.988, 3.470 Å; angles 90.00, 90.00, 90.00 degrees
Space group P4/mmm (No. 123)
Asymmetric unit:
Al  0.000  0.000  0.000 (multiplicity 1)
Bi  0.500  0.500  0.500 (multiplicity 1)
P  0.000  0.500  0.000 (multiplicity 2)
O  0.000  0.000  0.500 (multiplicity 1)

Values from the calculation:
Magnetization (μB per atom): 0.00
Energy (eV per cell): -26.98
Energy above the most stable polymorph in this dataset (meV per atom): 0